VASP calculation (PBE) on a geometry-optimized Zr3NiRu structure.

total moment: 0.00 μB per cell
final energy: -7.5283 eV/atom
DOS(E_F): 9.362 states/eV/f.u.

abc: 4.969 4.969 4.969
angles: 90.00 90.00 90.00
Element x y z (fractional)
Zr: 0.000 0.000 0.500
Zr: 0.000 0.500 0.000
Zr: 0.500 0.000 0.000
Ni: 0.500 0.500 0.500
Ru: 0.000 0.000 0.000

VASP calculation (PBE) on a geometry-optimized Zr6Ni5Ru structure.

total moment: 0.00 μB per cell
final energy: -7.8422 eV/atom
DOS(E_F): 13.523 states/eV/f.u.

abc: 4.550 6.444 7.244
angles: 90.00 108.06 90.00
Element x y z (fractional)
Zr: 0.000 0.249 0.000
Zr: 0.000 0.751 0.000
Zr: 0.331 0.249 0.662
Zr: 0.331 0.751 0.662
Zr: 0.669 0.249 0.338
Zr: 0.669 0.751 0.338
Ni: 0.159 0.000 0.317
Ni: 0.161 0.500 0.323
Ni: 0.500 0.000 0.000
Ni: 0.839 0.500 0.677
Ni: 0.841 0.000 0.683
Ru: 0.500 0.500 0.000

VASP calculation (PBE) on a geometry-optimized ZrNiRu2 structure.

total moment: 0.82 μB per cell
final energy: -8.2654 eV/atom
DOS(E_F): 7.748 states/eV/f.u.

abc: 4.408 4.408 4.408
angles: 60.00 60.00 60.00
Element x y z (fractional)
Zr: 0.000 0.000 0.000
Ni: 0.500 0.500 0.500
Ru: 0.250 0.250 0.250
Ru: 0.750 0.750 0.750

VASP calculation (PBE) on a geometry-optimized Zr2Ni2Ru structure.

total moment: 0.00 μB per cell
final energy: -7.9567 eV/atom
DOS(E_F): 6.397 states/eV/f.u.

abc: 6.844 6.844 3.413
angles: 90.00 90.00 90.00
Element x y z (fractional)
Zr: 0.182 0.318 0.000
Zr: 0.318 0.818 0.000
Zr: 0.682 0.182 0.000
Zr: 0.818 0.682 0.000
Ni: 0.121 0.621 0.500
Ni: 0.379 0.121 0.500
Ni: 0.621 0.879 0.500
Ni: 0.879 0.379 0.500
Ru: 0.000 0.000 0.500
Ru: 0.500 0.500 0.500

VASP calculation (PBE) on a geometry-optimized ZrNiRu2 structure.

total moment: 0.00 μB per cell
final energy: -8.3074 eV/atom
DOS(E_F): 4.765 states/eV/f.u.

abc: 4.652 4.652 4.747
angles: 102.38 102.38 37.50
Element x y z (fractional)
Zr: 0.000 0.000 0.000
Ni: 0.500 0.500 0.500
Ru: 0.239 0.239 0.717
Ru: 0.761 0.761 0.283

VASP calculation (PBE) on a geometry-optimized ZrNi3Ru structure.

total moment: 0.85 μB per cell
final energy: -6.1947 eV/atom
DOS(E_F): 8.598 states/eV/f.u.

abc: 4.427 4.427 4.427
angles: 90.00 90.00 90.00
Element x y z (fractional)
Zr: 0.000 0.000 0.000
Ni: 0.000 0.500 0.500
Ni: 0.500 0.000 0.500
Ni: 0.500 0.500 0.000
Ru: 0.500 0.500 0.500

VASP calculation (PBE) on a geometry-optimized Zr3NiRu structure.

total moment: 0.00 μB per cell
final energy: -7.6663 eV/atom
DOS(E_F): 7.475 states/eV/f.u.

abc: 4.759 4.759 4.759
angles: 90.00 90.00 90.00
Element x y z (fractional)
Zr: 0.000 0.000 0.500
Zr: 0.000 0.500 0.000
Zr: 0.500 0.000 0.000
Ni: 0.000 0.000 0.000
Ru: 0.500 0.500 0.500

VASP calculation (PBE) on a geometry-optimized ZrNiRu2 structure.

total moment: 0.00 μB per cell
final energy: -8.0083 eV/atom
DOS(E_F): 4.981 states/eV/f.u.

abc: 9.192 9.192 9.192
angles: 17.45 17.45 17.45
Element x y z (fractional)
Zr: 0.000 0.000 0.000
Ni: 0.753 0.753 0.753
Ru: 0.239 0.239 0.239
Ru: 0.497 0.497 0.497